Computed, not measured: a relaxed YHfF2 crystal at the PBE-GGA level of DFT.

Output
For the energy, the calculation gives -24.53 eV/f.u. The value obtained for the relative energy among the computed polymorphs is 3.470 eV per formula unit. As for the symmetry: Fm-3m (225). The magnetic moment comes out at 0.00 μB/f.u.

abc: 6.466 6.466 6.466
angles: 90.00 90.00 90.00
Positions (direct):
Y: 0.000 0.000 0.000
Y: 0.000 0.500 0.500
Y: 0.500 0.000 0.500
Y: 0.500 0.500 0.000
Hf: 0.000 0.000 0.500
Hf: 0.000 0.500 0.000
Hf: 0.500 0.000 0.000
Hf: 0.500 0.500 0.500
F: 0.250 0.250 0.250
F: 0.250 0.250 0.750
F: 0.250 0.750 0.250
F: 0.250 0.750 0.750
F: 0.750 0.250 0.250
F: 0.750 0.250 0.750
F: 0.750 0.750 0.250
F: 0.750 0.750 0.750

---

Computed, not measured: a relaxed YHfF3 crystal at the PBE-GGA level of DFT.

Output
For the energy, the calculation gives -31.58 eV/f.u. The value obtained for the relative energy among the computed polymorphs is 0.000 eV per formula unit. As for the symmetry: Pm-3m (221). The magnetic moment comes out at 2.50 μB/f.u.

abc: 4.427 4.427 4.427
angles: 90.00 90.00 90.00
Positions (direct):
Y: 0.000 0.000 0.000
Hf: 0.500 0.500 0.500
F: 0.000 0.000 0.500
F: 0.000 0.500 0.000
F: 0.500 0.000 0.000

---

Computed, not measured: a relaxed YHfF7 crystal at the PBE-GGA level of DFT.

Output
For the energy, the calculation gives -65.35 eV/f.u. As for the symmetry: P2_1 (4). The magnetic moment comes out at 0.06 μB/f.u.

abc: 6.072 5.816 8.291
angles: 90.00 103.25 90.00
Positions (direct):
Y: 0.153 0.000 0.189
Y: 0.847 0.500 0.811
Hf: 0.317 0.005 0.726
Hf: 0.683 0.505 0.274
F: 0.029 0.720 0.012
F: 0.080 0.760 0.707
F: 0.093 0.265 0.707
F: 0.270 0.002 0.478
F: 0.363 0.009 0.972
F: 0.431 0.273 0.255
F: 0.441 0.745 0.263
F: 0.559 0.245 0.737
F: 0.569 0.773 0.745
F: 0.637 0.509 0.028
F: 0.730 0.502 0.522
F: 0.907 0.765 0.293
F: 0.920 0.260 0.293
F: 0.971 0.220 0.988

---

Computed, not measured: a relaxed YHfF3 crystal at the PBE-GGA level of DFT.

Output
For the energy, the calculation gives -31.34 eV/f.u. The value obtained for the relative energy among the computed polymorphs is 0.243 eV per formula unit. As for the symmetry: Pm-3m (221). The magnetic moment comes out at 3.32 μB/f.u.

abc: 4.413 4.413 4.413
angles: 90.00 90.00 90.00
Positions (direct):
Y: 0.000 0.000 0.000
Hf: 0.500 0.500 0.500
F: 0.000 0.500 0.500
F: 0.500 0.000 0.500
F: 0.500 0.500 0.000

---

Computed, not measured: a relaxed YHf2F11 crystal at the PBE-GGA level of DFT.

Output
For the energy, the calculation gives -101.82 eV/f.u. As for the symmetry: Ibam (72). The magnetic moment comes out at 0.00 μB/f.u.

abc: 8.265 8.265 8.265
angles: 124.12 106.20 99.21
Positions (direct):
Y: 0.250 0.250 0.000
Y: 0.750 0.750 0.000
Hf: 0.182 0.637 0.819
Hf: 0.318 0.137 0.455
Hf: 0.682 0.863 0.545
Hf: 0.818 0.363 0.181
F: 0.000 0.500 0.500
F: 0.042 0.962 0.282
F: 0.056 0.364 0.156
F: 0.180 0.462 0.920
F: 0.208 0.901 0.844
F: 0.218 0.371 0.589
F: 0.282 0.871 0.154
F: 0.292 0.136 0.693
F: 0.320 0.239 0.282
F: 0.444 0.599 0.307
F: 0.458 0.739 0.920
F: 0.500 0.000 0.500
F: 0.542 0.261 0.080
F: 0.556 0.401 0.693
F: 0.680 0.761 0.718
F: 0.708 0.864 0.307
F: 0.718 0.129 0.846
F: 0.782 0.629 0.411
F: 0.792 0.099 0.156
F: 0.820 0.538 0.080
F: 0.944 0.636 0.844
F: 0.958 0.038 0.718

---

Computed, not measured: a relaxed YHfF2 crystal at the PBE-GGA level of DFT.

Output
For the energy, the calculation gives -27.42 eV/f.u. The value obtained for the relative energy among the computed polymorphs is 0.586 eV per formula unit. As for the symmetry: I-42d (122). The magnetic moment comes out at 0.19 μB/f.u.

abc: 5.330 5.330 10.494
angles: 90.00 90.00 90.00
Positions (direct):
Y: 0.000 0.000 0.000
Y: 0.000 0.500 0.250
Y: 0.500 0.000 0.750
Y: 0.500 0.500 0.500
Hf: 0.000 0.000 0.500
Hf: 0.000 0.500 0.750
Hf: 0.500 0.000 0.250
Hf: 0.500 0.500 0.000
F: 0.248 0.250 0.125
F: 0.250 0.748 0.375
F: 0.250 0.752 0.875
F: 0.252 0.250 0.625
F: 0.748 0.750 0.625
F: 0.750 0.248 0.875
F: 0.750 0.252 0.375
F: 0.752 0.750 0.125